No. 1
# CdGaAg4 PBE optimized geometry
# Total magnetization in μB/cell: 0.0
# Calculated total energy in eV/cell: -59.09
# Calculated formation energy in eV per atom: 0.096
# Mass density in g cm⁻³: 8.46
# Energy relative to the lowest polymorph listed for this composition in eV/atom: 0.108
# Crystal system: cubic
data_CdGaAg4
_cell_length_a 7.840
_cell_length_b 7.840
_cell_length_c 7.840
_cell_angle_alpha 90.00
_cell_angle_beta 90.00
_cell_angle_gamma 90.00
_space_group_name_H-M_alt 'F -4 3 m'
_space_group_IT_number 216
_space_group_name_Hall 'F -4 2 3'
loop_
_atom_site_label
_atom_site_type_symbol
_atom_site_fract_x
_atom_site_fract_y
_atom_site_fract_z
Cd1 Cd 0.000 0.000 0.000
Ga1 Ga 0.250 0.250 0.750
Ag1 Ag 0.125 0.125 0.375

No. 2
# Cd2Ga5Ag12 PBE optimized geometry
# Total magnetization in μB/cell: 0.0
# Calculated total energy in eV/cell: -99.25
# Calculated formation energy in eV per atom: 0.082
# Mass density in g cm⁻³: 8.25
# Crystal system: monoclinic
data_Cd2Ga5Ag12
_cell_length_a 15.351
_cell_length_b 5.733
_cell_length_c 8.892
_cell_angle_alpha 90.00
_cell_angle_beta 106.03
_cell_angle_gamma 90.00
_space_group_name_H-M_alt 'C 1 2/m 1'
_space_group_IT_number 12
loop_
_space_group_symop_operation_xyz
'x,y,z'
'-x,-y,-z'
'-x,y,-z'
'x,-y,z'
'x+1/2,y+1/2,z'
'-x+1/2,-y+1/2,-z'
'-x+1/2,y+1/2,-z'
'x+1/2,-y+1/2,z'
loop_
_atom_site_label
_atom_site_type_symbol
_atom_site_fract_x
_atom_site_fract_y
_atom_site_fract_z
Cd1 Cd 0.000 0.248 0.000
Ga1 Ga 0.000 0.000 0.500
Ga2 Ga 0.140 0.500 0.862
Ga3 Ga 0.199 0.500 0.375
Ag1 Ag 0.019 0.500 0.336
Ag2 Ag 0.102 0.000 0.296
Ag3 Ag 0.148 0.254 0.602
Ag4 Ag 0.202 0.246 0.119

No. 3
# Cd7GaAg4 PBE optimized geometry
# Total magnetization in μB/cell: 0.0
# Calculated total energy in eV/cell: -20.89
# Calculated formation energy in eV per atom: -0.004
# Mass density in g cm⁻³: 8.85
# Energy relative to the lowest polymorph listed for this composition in eV/atom: 0.000
# Crystal system: trigonal
data_Cd7GaAg4
_cell_length_a 3.1098
_cell_length_b 3.1098
_cell_length_c 28.8496
_cell_angle_alpha 90.00
_cell_angle_beta 90.00
_cell_angle_gamma 120.00
_space_group_name_H-M_alt 'P -3 m 1'
_space_group_IT_number 164
_space_group_name_Hall '-P 3 2"'
loop_
_atom_site_label
_atom_site_type_symbol
_atom_site_fract_x
_atom_site_fract_y
_atom_site_fract_z
Cd1 Cd 0.0000 0.0000 0.0000
Cd2 Cd 0.0000 0.0000 0.2537
Cd3 Cd 0.3333 0.6667 0.1643
Cd4 Cd 0.3333 0.6667 0.4176
Ga1 Ga 0.0000 0.0000 0.5000
Ag1 Ag 0.3333 0.6667 0.6639
Ag2 Ag 0.3333 0.6667 0.9181

No. 4
# Cd2Ga3Ag6 PBE optimized geometry
# Total magnetization in μB/cell: 0.0
# Calculated total energy in eV/cell: -83.89
# Calculated formation energy in eV per atom: 0.005
# Mass density in g cm⁻³: 8.89
# Crystal system: trigonal
data_Cd2Ga3Ag6
_cell_length_a 3.0180
_cell_length_b 3.0180
_cell_length_c 76.8402
_cell_angle_alpha 90.00
_cell_angle_beta 90.00
_cell_angle_gamma 120.00
_space_group_name_H-M_alt 'R -3 m'
_space_group_IT_number 166
_space_group_name_Hall '-R 3 2"'
loop_
_atom_site_label
_atom_site_type_symbol
_atom_site_fract_x
_atom_site_fract_y
_atom_site_fract_z
Cd1 Cd 0.0000 0.0000 0.0469
Ga1 Ga 0.0000 0.0000 0.2253
Ga2 Ga 0.0000 0.0000 0.5000
Ag1 Ag 0.0000 0.0000 0.1374
Ag2 Ag 0.0000 0.0000 0.3181
Ag3 Ag 0.0000 0.0000 0.4122

No. 5
# CdGa3Ag9 PBE optimized geometry
# Total magnetization in μB/cell: 0.0
# Calculated total energy in eV/cell: -69.88
# Calculated formation energy in eV per atom: 0.055
# Mass density in g cm⁻³: 8.79
# Crystal system: monoclinic
data_CdGa3Ag9
_cell_length_a 7.946
_cell_length_b 7.719
_cell_length_c 8.032
_cell_angle_alpha 90.00
_cell_angle_beta 97.47
_cell_angle_gamma 90.00
_space_group_name_H-M_alt 'P 1 21/m 1'
_space_group_IT_number 11
loop_
_space_group_symop_operation_xyz
'x,y,z'
'-x,-y,-z'
'-x,y+1/2,-z'
'x,-y+1/2,z'
loop_
_atom_site_label
_atom_site_type_symbol
_atom_site_fract_x
_atom_site_fract_y
_atom_site_fract_z
Cd1 Cd 0.073 0.250 0.047
Ga1 Ga 0.000 0.000 0.500
Ga2 Ga 0.453 0.570 0.219
Ag1 Ag 0.119 0.565 0.221
Ag2 Ag 0.197 0.250 0.684
Ag3 Ag 0.237 0.562 0.886
Ag4 Ag 0.321 0.250 0.354
Ag5 Ag 0.333 0.570 0.542
Ag6 Ag 0.438 0.250 0.036

No. 6
# Cd2GaAg5 PBE optimized geometry
# Total magnetization in μB/cell: 0.0
# Calculated total energy in eV/cell: -16.71
# Calculated formation energy in eV per atom: 0.300
# Mass density in g cm⁻³: 7.54
# Energy relative to the lowest polymorph listed for this composition in eV/atom: 0.325
# Crystal system: tetragonal
data_Cd2GaAg5
_cell_length_a 6.192
_cell_length_b 6.192
_cell_length_c 4.790
_cell_angle_alpha 90.00
_cell_angle_beta 90.00
_cell_angle_gamma 90.00
_space_group_name_H-M_alt 'P 4/m m m'
_space_group_IT_number 123
_space_group_name_Hall '-P 4 2'
loop_
_atom_site_label
_atom_site_type_symbol
_atom_site_fract_x
_atom_site_fract_y
_atom_site_fract_z
Cd1 Cd 0.000 0.500 0.000
Ga1 Ga 0.000 0.000 0.500
Ag1 Ag 0.000 0.000 0.000
Ag2 Ag 0.283 0.283 0.500

No. 7
# Cd7GaAg4 PBE optimized geometry
# Total magnetization in μB/cell: 0.0
# Calculated total energy in eV/cell: -39.68
# Calculated formation energy in eV per atom: 0.083
# Mass density in g cm⁻³: 7.92
# Energy relative to the lowest polymorph listed for this composition in eV/atom: 0.087
# Crystal system: monoclinic
data_Cd7GaAg4
_cell_length_a 13.246
_cell_length_b 5.031
_cell_length_c 10.319
_cell_angle_alpha 90.00
_cell_angle_beta 128.21
_cell_angle_gamma 90.00
_space_group_name_H-M_alt 'C 1 2/m 1'
_space_group_IT_number 12
loop_
_space_group_symop_operation_xyz
'x,y,z'
'-x,-y,-z'
'-x,y,-z'
'x,-y,z'
'x+1/2,y+1/2,z'
'-x+1/2,-y+1/2,-z'
'-x+1/2,y+1/2,-z'
'x+1/2,-y+1/2,z'
loop_
_atom_site_label
_atom_site_type_symbol
_atom_site_fract_x
_atom_site_fract_y
_atom_site_fract_z
Cd1 Cd 0.000 0.000 0.000
Cd2 Cd 0.062 0.500 0.334
Cd3 Cd 0.153 0.000 0.592
Cd4 Cd 0.220 0.500 0.855
Ga1 Ga 0.000 0.500 0.000
Ag1 Ag 0.077 0.000 0.791
Ag2 Ag 0.197 0.000 0.351

No. 8
# CdGaAg3 PBE optimized geometry
# Total magnetization in μB/cell: 0.0
# Calculated total energy in eV/cell: -10.53
# Calculated formation energy in eV per atom: 0.394
# Mass density in g cm⁻³: 7.14
# Energy relative to the lowest polymorph listed for this composition in eV/atom: 0.399
# Crystal system: cubic
data_CdGaAg3
_cell_length_a 4.901
_cell_length_b 4.901
_cell_length_c 4.901
_cell_angle_alpha 90.00
_cell_angle_beta 90.00
_cell_angle_gamma 90.00
_space_group_name_H-M_alt 'P m -3 m'
_space_group_IT_number 221
_space_group_name_Hall '-P 4 2 3'
loop_
_atom_site_label
_atom_site_type_symbol
_atom_site_fract_x
_atom_site_fract_y
_atom_site_fract_z
Cd1 Cd 0.000 0.000 0.000
Ga1 Ga 0.500 0.500 0.500
Ag1 Ag 0.000 0.500 0.500